# 1
Tl2CrAgTe4 | PBE-GGA | optimized geometry

**Magnetization**: 0.99 μB/f.u.
**VASP energy**: -0.1414 Ha/atom

abc: 6.301 7.766 12.247
angles: 84.01 75.09 66.07
Each line ends with the local moment (μB).
Atoms (fractional coordinates):
Tl: 0.181 0.000 0.638  -0.01
Tl: 0.569 0.500 0.862  -0.01
Tl: 0.819 0.000 0.362  -0.01
Tl: 0.931 0.500 0.138  -0.01
Ag: 0.250 0.500 0.500  -0.02
Ag: 0.500 0.000 0.000  -0.02
Te: 0.788 0.715 0.625  -0.12
Te: 0.587 0.285 0.625  -0.12
Te: 0.253 0.785 0.125  -0.12
Te: 0.163 0.215 0.875  -0.12
Te: 0.497 0.715 0.375  -0.12
Te: 0.129 0.285 0.375  -0.12
Te: 0.962 0.785 0.875  -0.12
Te: 0.621 0.215 0.125  -0.12
Cr: 0.000 0.000 0.000  1.62
Cr: 0.750 0.500 0.500  1.62

---

# 2
TiCrAg | PBE-GGA | optimized geometry

**Distance to the lowest polymorph of the same formula**: 860 meV/atom
**Magnetization**: 3.19 μB/f.u.
**Formation energy from the elements**: 0.840 eV per atom

abc: 4.310 4.310 4.310
angles: 60.00 60.00 60.00
Each line ends with the local moment (μB).
Atoms (fractional coordinates):
Cr: 0.750 0.750 0.750  2.89
Ti: 0.000 0.000 0.000  0.07
Ag: 0.500 0.500 0.500  0.08

---

# 3
Ti2Cr2Ag | PBE-GGA | optimized geometry

**Magnetization**: 0.00 μB/f.u.
**Formation energy from the elements**: 0.204 eV per atom

abc: 7.042 7.042 3.073
angles: 90.00 90.00 90.00
Atoms (fractional coordinates):
Cr: 0.400 0.900 0.000
Cr: 0.100 0.400 0.000
Cr: 0.900 0.600 0.000
Cr: 0.600 0.100 0.000
Ti: 0.308 0.192 0.500
Ti: 0.692 0.808 0.500
Ti: 0.192 0.692 0.500
Ti: 0.808 0.308 0.500
Ag: 0.500 0.500 0.000
Ag: 0.000 0.000 0.000

---

# 4
TiCrAg | PBE-GGA | optimized geometry

**Distance to the lowest polymorph of the same formula**: 0 meV/atom
**Magnetization**: 0.00 μB/f.u.
**Formation energy from the elements**: -0.020 eV per atom

abc: 2.879 2.879 11.131
angles: 90.00 90.00 90.00
Atoms (fractional coordinates):
Ti: 0.000 0.500 0.210
Ti: 0.500 0.000 0.790
Cr: 0.000 0.500 0.942
Cr: 0.500 0.000 0.058
Ag: 0.000 0.500 0.597
Ag: 0.500 0.000 0.403

---

# 5
Ti2CrAg | PBE-GGA | optimized geometry

**Distance to the lowest polymorph of the same formula**: 778 meV/atom
**Magnetization**: 0.00 μB/f.u.
**Formation energy from the elements**: 0.751 eV per atom

abc: 3.864 3.864 9.447
angles: 78.20 78.20 90.00
Atoms (fractional coordinates):
Ti: 0.875 0.857 0.750
Ti: 0.607 0.125 0.250
Ti: 0.143 0.625 0.250
Ti: 0.375 0.393 0.750
Ag: 0.750 0.250 0.500
Ag: 0.000 0.000 0.000
Cr: 0.250 0.750 0.500
Cr: 0.500 0.500 0.000

---

# 6
TiCr2Ag | PBE-GGA | optimized geometry

**Distance to the lowest polymorph of the same formula**: 0 meV/atom
**Magnetization**: 6.12 μB/f.u.
**Formation energy from the elements**: 0.539 eV per atom

abc: 4.465 4.465 4.465
angles: 60.00 60.00 60.00
Each line ends with the local moment (μB).
Atoms (fractional coordinates):
Cr: 0.250 0.250 0.250  2.84
Cr: 0.750 0.750 0.750  2.84
Ag: 0.500 0.500 0.500  0.14
Ti: 0.000 0.000 0.000  -0.21

---

# 7
Ti3CrAg | PBE-GGA | optimized geometry

**Distance to the lowest polymorph of the same formula**: 0 meV/atom
**Magnetization**: 0.00 μB/f.u.
**Formation energy from the elements**: 0.582 eV per atom

abc: 4.527 4.527 4.527
angles: 90.00 90.00 90.00
Atoms (fractional coordinates):
Ti: 0.500 0.000 0.000
Ti: 0.000 0.500 0.000
Ti: 0.000 0.000 0.500
Ag: 0.500 0.500 0.500
Cr: 0.000 0.000 0.000

---

# 8
Ti2CrAg | PBE-GGA | optimized geometry

**Distance to the lowest polymorph of the same formula**: 199 meV/atom
**Magnetization**: 0.00 μB/f.u.
**Formation energy from the elements**: 0.173 eV per atom

abc: 4.442 4.442 4.442
angles: 60.00 60.00 60.00
Atoms (fractional coordinates):
Ti: 0.250 0.250 0.250
Ti: 0.750 0.750 0.750
Ag: 0.500 0.500 0.500
Cr: 0.000 0.000 0.000

---

# 9
Ti2CrAg | PBE-GGA | optimized geometry

**Distance to the lowest polymorph of the same formula**: 0 meV/atom
**Magnetization**: 0.00 μB/f.u.
**Formation energy from the elements**: -0.027 eV per atom

abc: 3.029 3.029 6.876
angles: 90.00 90.00 90.00
Atoms (fractional coordinates):
Cr: 0.500 0.500 0.000
Ag: 0.500 0.500 0.500
Ti: 0.000 0.000 0.793
Ti: 0.000 0.000 0.207

---

# 10
TiCr2Ag | PBE-GGA | optimized geometry

**Distance to the lowest polymorph of the same formula**: 245 meV/atom
**Magnetization**: 0.00 μB/f.u.
**Formation energy from the elements**: 0.784 eV per atom

abc: 3.682 3.682 9.553
angles: 78.89 78.89 90.00
Atoms (fractional coordinates):
Cr: 0.875 0.823 0.750
Cr: 0.573 0.125 0.250
Cr: 0.177 0.625 0.250
Cr: 0.375 0.427 0.750
Ag: 0.000 0.000 0.000
Ag: 0.750 0.250 0.500
Ti: 0.500 0.500 0.000
Ti: 0.250 0.750 0.500

---

# 11
TiCr3Ag | PBE-GGA | optimized geometry

**Distance to the lowest polymorph of the same formula**: 0 meV/atom
**Magnetization**: 0.00 μB/f.u.
**Formation energy from the elements**: 1.516 eV per atom

abc: 4.301 4.301 4.301
angles: 90.00 90.00 90.00
Atoms (fractional coordinates):
Ag: 0.500 0.500 0.500
Cr: 0.000 0.000 0.500
Cr: 0.500 0.000 0.000
Cr: 0.000 0.500 0.000
Ti: 0.000 0.000 0.000

---

# 12
Tl2CrAg | PBE-GGA | optimized geometry

**Distance to the lowest polymorph of the same formula**: 98 meV/atom
**Magnetization**: 4.38 μB/f.u.
**Formation energy from the elements**: 0.484 eV per atom

abc: 5.061 5.061 5.061
angles: 60.00 60.00 60.00
Each line ends with the local moment (μB).
Atoms (fractional coordinates):
Cr: 0.750 0.750 0.750  3.92
Tl: 0.250 0.250 0.250  -0.01
Tl: 0.000 0.000 0.000  0.00
Ag: 0.500 0.500 0.500  0.01

---

# 13
TlCr4Ag | PBE-GGA | optimized geometry

**Magnetization**: 0.00 μB/f.u.
**Formation energy from the elements**: 0.651 eV per atom

abc: 4.977 4.977 4.977
angles: 60.00 60.00 60.00
Atoms (fractional coordinates):
Cr: 0.370 0.370 0.889
Cr: 0.889 0.370 0.370
Cr: 0.370 0.889 0.370
Cr: 0.370 0.370 0.370
Ag: 0.000 0.000 0.000
Tl: 0.750 0.750 0.750

---

# 14
Tl2CrAg | PBE-GGA | optimized geometry

**Distance to the lowest polymorph of the same formula**: 44 meV/atom
**Magnetization**: 4.11 μB/f.u.
**Formation energy from the elements**: 0.431 eV per atom

abc: 5.004 3.417 5.167
angles: 90.01 90.00 90.00
Each line ends with the local moment (μB).
Atoms (fractional coordinates):
Cr: 0.500 0.625 0.808  3.77
Ag: 0.000 0.625 0.444  0.01
Tl: 0.500 0.125 0.325  -0.03
Tl: 0.000 0.125 0.922  -0.01

---

# 15
Tl2CrAg | PBE-GGA | optimized geometry

**Distance to the lowest polymorph of the same formula**: 87 meV/atom
**Magnetization**: 3.95 μB/f.u.
**Formation energy from the elements**: 0.474 eV per atom

abc: 9.346 9.346 9.346
angles: 20.71 20.71 20.71
Each line ends with the local moment (μB).
Atoms (fractional coordinates):
Cr: 0.750 0.750 0.750  3.67
Tl: 0.498 0.498 0.498  -0.02
Tl: 0.002 0.002 0.002  -0.02
Ag: 0.250 0.250 0.250  0.01

---

# 16
Tl2CrAg | PBE-GGA | optimized geometry

**Distance to the lowest polymorph of the same formula**: 47 meV/atom
**Magnetization**: 4.21 μB/f.u.
**Formation energy from the elements**: 0.434 eV per atom

abc: 3.568 3.568 6.913
angles: 90.00 90.00 90.00
Each line ends with the local moment (μB).
Atoms (fractional coordinates):
Tl: 0.000 0.000 0.995  -0.01
Tl: 0.000 0.000 0.505  -0.01
Ag: 0.500 0.500 0.250  0.01
Cr: 0.500 0.500 0.750  3.81

---

# 17
Tl2CrAg | PBE-GGA | optimized geometry

**Distance to the lowest polymorph of the same formula**: 41 meV/atom
**Magnetization**: 4.03 μB/f.u.
**Formation energy from the elements**: 0.428 eV per atom

abc: 4.977 4.977 4.977
angles: 60.00 60.00 60.00
Each line ends with the local moment (μB).
Atoms (fractional coordinates):
Tl: 0.750 0.750 0.750  -0.03
Tl: 0.250 0.250 0.250  -0.03
Ag: 0.500 0.500 0.500  -0.02
Cr: 0.000 0.000 0.000  3.76

---

# 18
Tl3CrAg | PBE-GGA | optimized geometry

**Distance to the lowest polymorph of the same formula**: 0 meV/atom
**Magnetization**: 3.55 μB/f.u.
**Formation energy from the elements**: 0.607 eV per atom

abc: 5.318 5.318 5.318
angles: 90.00 90.00 90.00
Each line ends with the local moment (μB).
Atoms (fractional coordinates):
Ag: 0.500 0.500 0.500  0.06
Tl: 0.000 0.500 0.000  0.01
Tl: 0.000 0.000 0.500  0.02
Tl: 0.500 0.000 0.000  -0.02
Cr: 0.000 0.000 0.000  3.26

---

# 19
Tl2CrAg | PBE-GGA | optimized geometry

**Distance to the lowest polymorph of the same formula**: 581 meV/atom
**Magnetization**: 0.10 μB/f.u.
**Formation energy from the elements**: 0.967 eV per atom

abc: 4.392 4.392 10.010
angles: 77.33 77.33 90.00
Each line ends with the local moment (μB).
Atoms (fractional coordinates):
Cr: 0.500 0.500 0.000  -0.13
Cr: 0.250 0.750 0.500  -0.14
Ag: 0.750 0.250 0.500  0.01
Ag: 0.000 0.000 0.000  0.01
Tl: 0.142 0.625 0.250  0.02
Tl: 0.875 0.858 0.750  0.01
Tl: 0.608 0.125 0.250  0.02
Tl: 0.375 0.392 0.750  0.01

---

# 20
Tl4CrAg | PBE-GGA | optimized geometry

**Magnetization**: 4.97 μB/f.u.
**Formation energy from the elements**: 0.611 eV per atom

abc: 6.257 6.257 6.257
angles: 60.00 60.00 60.00
Each line ends with the local moment (μB).
Atoms (fractional coordinates):
Tl: 0.875 0.375 0.375  0.01
Tl: 0.375 0.375 0.375  0.01
Tl: 0.375 0.875 0.375  0.01
Tl: 0.375 0.375 0.875  0.01
Ag: 0.750 0.750 0.750  0.01
Cr: 0.000 0.000 0.000  4.18

---

# 21
Tl2CrAg | PBE-GGA | optimized geometry

**Distance to the lowest polymorph of the same formula**: 0 meV/atom
**Magnetization**: 4.19 μB/f.u.
**Formation energy from the elements**: 0.386 eV per atom

abc: 3.564 3.564 7.237
angles: 90.00 90.00 90.00
Each line ends with the local moment (μB).
Atoms (fractional coordinates):
Tl: 0.000 0.000 0.961  0.01
Tl: 0.500 0.500 0.280  -0.01
Cr: 0.500 0.500 0.724  3.77
Ag: 0.000 0.000 0.535  0.03

---

# 22
Tl2CrAg | PBE-GGA | optimized geometry

**Distance to the lowest polymorph of the same formula**: 81 meV/atom
**Magnetization**: 4.35 μB/f.u.
**Formation energy from the elements**: 0.467 eV per atom

abc: 5.702 5.702 5.702
angles: 143.45 123.02 69.62
Each line ends with the local moment (μB).
Atoms (fractional coordinates):
Cr: 0.250 0.750 0.500  3.87
Tl: 0.001 0.001 0.000  0.00
Tl: 0.499 0.499 0.000  0.00
Ag: 0.750 0.250 0.500  0.02

---

# 23
Tl2CrAg | PBE-GGA | optimized geometry

**Distance to the lowest polymorph of the same formula**: 73 meV/atom
**Magnetization**: 3.88 μB/f.u.
**Formation energy from the elements**: 0.459 eV per atom

abc: 9.660 9.660 9.660
angles: 20.07 20.07 20.07
Each line ends with the local moment (μB).
Atoms (fractional coordinates):
Ag: 0.508 0.508 0.508  0.03
Cr: 0.246 0.246 0.246  3.67
Tl: 0.755 0.755 0.755  -0.04
Tl: 0.991 0.991 0.991  -0.04

---

# 24
Tl2CrAg | PBE-GGA | optimized geometry

**Distance to the lowest polymorph of the same formula**: 88 meV/atom
**Magnetization**: 4.10 μB/f.u.
**Formation energy from the elements**: 0.474 eV per atom

abc: 4.717 3.315 5.824
angles: 85.59 90.00 90.00
Each line ends with the local moment (μB).
Atoms (fractional coordinates):
Ag: 0.500 0.250 0.250  -0.01
Tl: 0.000 0.014 0.999  -0.03
Tl: 0.000 0.486 0.501  -0.03
Cr: 0.500 0.750 0.750  3.80

---

# 25
TlCrAg4 | PBE-GGA | optimized geometry

**Magnetization**: 4.41 μB/f.u.
**Formation energy from the elements**: 0.334 eV per atom

abc: 5.564 5.564 5.564
angles: 60.00 60.00 60.00
Each line ends with the local moment (μB).
Atoms (fractional coordinates):
Tl: 0.000 0.000 0.000  0.00
Cr: 0.750 0.750 0.750  3.99
Ag: 0.874 0.375 0.375  0.00
Ag: 0.375 0.375 0.874  0.00
Ag: 0.375 0.874 0.375  0.00
Ag: 0.375 0.375 0.375  0.00

---

# 26
Tl2CrAg | PBE-GGA | optimized geometry

**Distance to the lowest polymorph of the same formula**: 26 meV/atom
**Magnetization**: 4.00 μB/f.u.
**Formation energy from the elements**: 0.412 eV per atom

abc: 6.100 6.100 4.966
angles: 72.08 72.08 30.86
Each line ends with the local moment (μB).
Atoms (fractional coordinates):
Tl: 0.758 0.758 0.709  -0.05
Tl: 0.974 0.974 0.058  0.00
Cr: 0.236 0.236 0.221  3.67
Ag: 0.532 0.532 0.512  0.02

---

# 27
Tl2CrAg | PBE-GGA | optimized geometry

**Distance to the lowest polymorph of the same formula**: 44 meV/atom
**Magnetization**: 4.07 μB/f.u.
**Formation energy from the elements**: 0.430 eV per atom

abc: 5.576 5.576 5.576
angles: 133.92 133.92 67.22
Each line ends with the local moment (μB).
Atoms (fractional coordinates):
Tl: 0.250 0.750 0.500  -0.04
Tl: 0.000 0.000 0.000  -0.03
Cr: 0.750 0.250 0.500  3.80
Ag: 0.500 0.500 0.000  -0.01

---

# 28
Tm2CrAg | PBE-GGA | optimized geometry

**Distance to the lowest polymorph of the same formula**: 33 meV/atom
**Magnetization**: 3.69 μB/f.u.
**Formation energy from the elements**: 0.042 eV per atom

abc: 5.034 5.034 5.034
angles: 60.00 60.00 60.00
Each line ends with the local moment (μB).
Atoms (fractional coordinates):
Tm: 0.750 0.750 0.750  0.00
Tm: 0.250 0.250 0.250  0.00
Cr: 0.000 0.000 0.000  3.37
Ag: 0.500 0.500 0.500  -0.01